## BeAsRu (meta-GGA SCAN)

Data for BeAsRu at its PBEsol-relaxed geometry.

E_form = 128 meV per atom
DOS(E_F) = 2.6 states/eV per cell

a b c (Å): 3.8672 3.8672 2.9864
angles (deg): 90.00 90.00 120.00
Element x y z (fractional)
Be (0.0000, 0.0000, 0.0000)
As (0.3333, 0.6667, 0.5159)
Ru (0.6667, 0.3333, 0.0138)



## ZrInMo2 (meta-GGA SCAN)

Data for ZrInMo2 at its PBEsol-relaxed geometry.

E_form = -19 meV per atom
DOS(E_F) = 2.8 states/eV per cell

a b c (Å): 5.4244 5.4244 5.4244
angles (deg): 143.71 129.51 63.75
Element x y z (fractional)
Zr (0.0000, 0.0000, 0.0000)
In (0.7251, 0.2251, 0.5000)
Mo (0.2545, 0.7545, 0.5000)
Mo (0.4633, 0.4633, 0.0000)